Entry 1:
Material: TbCr2BiO6
Method: DFT, GGA+U
State: relaxed

## Properties
E: -7.49 eV per atom
Density: 7.80 Mg/m³
DOS(E_F): 0.0 states/eV/f.u.

The structure in extended XYZ format:
```
10
Lattice="5.5457 0.0011 0.0012 2.7719 4.8031 -0.0046 2.7714 1.6068 4.5401" Properties=species:S:1:pos:R:3 pbc="T T T"
O 7.2182 3.6594 1.0264
O 6.0745 4.7256 3.3036
Tb 8.3169 4.8072 2.8462
O 5.1022 1.5282 1.0267
O 3.9631 2.9063 3.3042
O 6.5943 1.9875 3.3064
Bi 2.7728 1.6021 0.5826
O 4.3142 4.4257 1.0241
Cr 5.5446 3.2051 2.0300
Cr 2.7715 1.6065 4.3035
```



Entry 2:
Material: Tb2CrBiO6
Method: DFT, GGA+U
State: relaxed

## Properties
E: -7.26 eV per atom
Density: 7.20 Mg/m³

The structure in extended XYZ format:
```
10
Lattice="-1.3019 3.8711 -3.4631 -5.1011 -0.1607 1.7381 1.1526 3.7216 3.7268" Properties=species:S:1:pos:R:3 pbc="T T T"
O -3.9717 5.5902 1.5762
O -0.3139 0.9333 -0.8349
Cr -0.7910 2.3518 -2.1039
Tb -3.8236 3.7050 -2.5173
O -2.1314 2.2477 2.3145
Bi -2.6812 3.8823 0.8521
Tb -0.6968 5.6461 -1.5229
O -4.5718 3.6526 -0.3642
O -1.9159 3.7363 -1.2691
O -1.3159 5.6739 0.6712
```



Entry 3:
Material: CrTcBi2O8
Method: DFT, GGA+U
State: relaxed

## Properties
E: -6.69 eV per atom
Density: 7.05 Mg/m³
DOS(E_F): 4.1 states/eV/f.u.

The structure in extended XYZ format:
```
12
Lattice="4.9984 -0.0371 -0.0029 -0.0194 4.9909 -0.0055 0.0040 0.0074 6.5679" Properties=species:S:1:pos:R:3 pbc="T T T"
Tc 0.0000 0.0000 0.0000
Bi 2.4925 2.4824 4.8913
O 1.4316 1.4111 3.2815
O 1.3416 1.3056 -0.0021
Bi 2.4906 2.4788 1.6682
O 3.6414 3.6556 6.5617
O 0.8441 4.1073 1.5448
Cr 0.0020 0.0037 3.2839
O 0.8463 4.1113 5.0130
O 4.1368 0.8498 1.5465
O 4.1390 0.8539 5.0147
O 3.5514 3.5501 3.2780
```



Entry 4:
Material: Cr2TcBiO8
Method: DFT, GGA+U
State: relaxed

## Properties
E: -7.21 eV per atom
Density: 6.33 Mg/m³
DOS(E_F): 1.3 states/eV/f.u.

The structure in extended XYZ format:
```
12
Lattice="-4.0991 -2.1082 0.8767 2.2544 -4.0560 0.6759 0.6219 1.3851 6.2394" Properties=species:S:1:pos:R:3 pbc="T T T"
O 1.4782 -2.5889 5.5726
Bi 0.3109 0.6926 3.1197
Cr -0.4528 -2.0363 5.4877
O -0.9312 -3.4690 4.1674
O 1.1319 -3.3602 2.0971
O -0.2916 -1.3101 3.6245
Tc 0.0000 0.0000 0.0000
Cr -0.7701 -2.7428 2.3043
O -2.3548 -1.4189 5.6949
O -2.7011 -2.1902 2.2194
O -0.6804 -2.9732 7.3368
O -0.5425 -1.8059 0.4552
```